(1)
VASP calculation (PBE-GGA) on an optimized crystal structure of TcOsS2N.

crystal system	tetragonal
ΔE_f (raw)	11.0	eV/f.u.
DFT total energy	-5.433	eV/atom
excess energy over the best structure of this formula in the dataset	1321	meV/atom

Unit cell a=4.4021 b=4.4021 c=4.9244 alpha=90.00 beta=90.00 gamma=90.00
Last column: nearest neighbours and their distance in Å.
Space group P4/mmm (No. 123)
One atom of each set of equivalent atoms:
Tc1 0.0000 0.0000 0.0000 x1  4 S 2.20, 2 Os 2.46
Os1 0.0000 0.0000 0.5000 x1  2 Tc 2.46
S1 0.0000 0.5000 0.0000 x2  2 Tc 2.20
N1 0.5000 0.5000 0.5000 x1  4 Os 3.11, 8 S 3.30

---

(2)
VASP calculation (PBE-GGA) on an optimized crystal structure of BeCdCl2.

crystal system	orthorhombic
ΔE_f (raw)	0.6	eV/f.u.
DFT total energy	-1.924	eV/atom
excess energy over the best structure of this formula in the dataset	1065	meV/atom

Unit cell a=3.7129 b=3.8734 c=6.4425 alpha=90.00 beta=90.00 gamma=90.00
Last column: nearest neighbours and their distance in Å.
Space group Pmmm (No. 47)
One atom of each set of equivalent atoms:
Be1 0.0000 0.0000 0.0000 x1  4 Cl 2.68
Cd1 0.5000 0.0000 0.5000 x1  4 Cl 2.68
Cl1 0.0000 0.5000 0.5000 x1  4 Cd 2.68
Cl2 0.5000 0.5000 0.0000 x1  4 Be 2.68

---

(3)
VASP calculation (PBE-GGA) on an optimized crystal structure of TlRu2.

crystal system	tetragonal
formation energy from the elements	409	meV per atom
DFT total energy	-6.563	eV/atom
excess energy over the best structure of this formula in the dataset	0	meV/atom

Unit cell a=2.9010 b=2.9010 c=11.9847 alpha=90.00 beta=90.00 gamma=90.00
Last column: nearest neighbours and their distance in Å.
Space group I4/mmm (No. 139)
One atom of each set of equivalent atoms:
Tl1 0.0000 0.0000 0.0000 x2  4 Tl 2.90, 8 Ru 3.01
Ru1 0.0000 0.0000 0.3165 x4  8 Ru 2.60-2.90

---

(4)
VASP calculation (PBE-GGA) on an optimized crystal structure of Er4GeP2Se.

crystal system	tetragonal
ΔE_f (raw)	-11.9	eV/f.u.
DFT total energy	-6.139	eV/atom

Unit cell a=5.6895 b=5.6895 c=11.3789 alpha=90.00 beta=90.00 gamma=90.00
Last column: nearest neighbours and their distance in Å.
Space group I-4m2 (No. 119)
One atom of each set of equivalent atoms:
Er1 0.0000 0.0000 0.2430 x4  3 P 2.77-2.85, 2 Ge 2.85, 1 Se 2.92
Er2 0.0000 0.5000 0.5042 x4  3 P 2.80-2.85, 2 Se 2.85, 1 Ge 2.89
Ge1 0.0000 0.5000 0.2500 x2  6 Er 2.85-2.89
P1 0.0000 0.0000 0.0000 x2  6 Er 2.77-2.85
P2 0.0000 0.5000 0.7500 x2  6 Er 2.80-2.85
Se1 0.0000 0.0000 0.5000 x2  6 Er 2.85-2.92

---

(5)
VASP calculation (PBE-GGA) on an optimized crystal structure of Sr4Bi2O.

crystal system	tetragonal
ΔE_f (raw)	-10.3	eV/f.u.
DFT total energy	-4.255	eV/atom
excess energy over the best structure of this formula in the dataset	0	meV/atom

Unit cell a=5.0598 b=5.0598 c=17.6828 alpha=90.00 beta=90.00 gamma=90.00
Last column: nearest neighbours and their distance in Å.
Space group I4/mmm (No. 139)
One atom of each set of equivalent atoms:
Sr1 0.0000 0.0000 0.1670 x4  1 O 2.95
Sr2 0.0000 0.5000 0.0000 x4  2 O 2.53
Bi1 0.0000 0.0000 0.3607 x4  9 Sr 3.43-3.61
O1 0.0000 0.0000 0.0000 x2  4 Sr 2.53

---

(6)
VASP calculation (PBE-GGA) on an optimized crystal structure of Np3Ag4PdS8.

crystal system	monoclinic
ΔE_f (raw)	-10.9	eV/f.u.
DFT total energy	-6.211	eV/atom

Unit cell a=13.0212 b=7.7794 c=7.6048 alpha=90.00 beta=119.88 gamma=90.00
Last column: nearest neighbours and their distance in Å.
Space group C2/m (No. 12)
One atom of each set of equivalent atoms:
Np1 0.0000 0.0000 0.0000 x2  6 S 2.74-2.75
Np2 0.2500 0.2500 0.5000 x4  6 S 2.72-2.76
Ag1 0.0000 0.0000 0.5000 x2  2 S 2.46
Ag2 0.0000 0.5000 0.5000 x2  6 S 2.72-2.94
Ag3 0.2500 0.2500 0.0000 x4  6 S 2.73-2.95
Pd1 0.0000 0.5000 0.0000 x2  4 S 2.44
S1 0.0101 0.2767 0.2336 x8  1 Pd 2.44, 1 Ag 2.72
S2 0.2172 0.0000 0.7178 x4  1 Ag 2.46, 2 Np 2.72
S3 0.2409 0.0000 0.2429 x4  3 Np 2.72-2.74, 3 Ag 2.73-2.94

---

- Which of these has the lowest DFT total energy?
  TlRu2